! CdMoIr2Ru (PBE, relaxed); values from VASP
! **Energy relative to the elements**: 1.736 eV/atom
! **ρ**: 10.6 g/cm³
! **SG**: P4/mmm (123)
&SYSTEM
  ibrav = 0, nat = 5, ntyp = 4
/
ATOMIC_SPECIES
Ru 101.07 Ru.upf
Mo 95.94 Mo.upf
Ir 192.22 Ir.upf
Cd 112.41 Cd.upf
CELL_PARAMETERS angstrom
-1.754 -2.019 -3.846
3.533 -3.482 0.216
-2.785 -2.660 2.667
ATOMIC_POSITIONS crystal
Ru 0.000 0.000 0.000
Mo 0.500 0.500 0.500
Ir 0.000 0.000 0.500
Ir 0.500 0.000 0.000
Cd 0.000 0.500 0.000

***

! AgP2SI (PBE, relaxed); values from VASP
! **ρ**: 3.9 g/cm³
! **Polymorph energy (0 for the lowest one)**: 0.342 eV per atom
! **Formation energy without anion corrections**: 1435 meV per atom
! **SG**: P4/mmm (123)
&SYSTEM
  ibrav = 0, nat = 5, ntyp = 4
/
ATOMIC_SPECIES
I 126.90 I.upf
P 30.97 P.upf
S 32.06 S.upf
Ag 107.87 Ag.upf
CELL_PARAMETERS angstrom
5.220 0.000 0.000
0.000 5.220 0.000
0.000 0.000 5.078
ATOMIC_POSITIONS crystal
I 0.000 0.000 0.000
P 0.000 0.500 0.000
P 0.500 0.000 0.000
S 0.000 0.000 0.500
Ag 0.500 0.500 0.500

***

! MgZrScRe (PBE, relaxed); values from VASP
! **Energy relative to the elements**: -0.086 eV/atom
! **ρ**: 7.5 g/cm³
! **SG**: F-43m (216)
&SYSTEM
  ibrav = 0, nat = 4, ntyp = 4
/
ATOMIC_SPECIES
Sc 44.96 Sc.upf
Re 186.21 Re.upf
Mg 24.30 Mg.upf
Zr 91.22 Zr.upf
CELL_PARAMETERS angstrom
-4.498 1.483 -0.540
-3.615 -2.894 1.129
-2.683 0.921 3.831
ATOMIC_POSITIONS crystal
Sc 0.000 0.000 0.000
Re 0.750 0.750 0.750
Mg 0.250 0.250 0.250
Zr 0.500 0.500 0.500

***

! Mo2PBr (PBE, relaxed); values from VASP
! **ρ**: 7.6 g/cm³
! **Polymorph energy (0 for the lowest one)**: 0.928 eV per atom
! **Formation energy without anion corrections**: 970 meV per atom
! **SG**: F-43m (216)
&SYSTEM
  ibrav = 0, nat = 4, ntyp = 3
/
ATOMIC_SPECIES
Br 79.90 Br.upf
Mo 95.94 Mo.upf
P 30.97 P.upf
CELL_PARAMETERS angstrom
-0.857 0.169 -4.456
-0.664 -3.839 -2.332
-4.141 -1.024 -1.556
ATOMIC_POSITIONS crystal
Br 0.500 0.500 0.500
Mo 0.000 0.000 0.000
Mo 0.250 0.250 0.250
P 0.750 0.750 0.750

***

- ρ of number 4 (Mo2PBr)?
  7.6 g/cm³

***

- What is the formula in the third record?
  MgZrScRe

***

- Among the records above, which one has the lowest ρ?
  AgP2SI